Entry 1:
Crystalline Ce4SbAs3 at its relaxed geometry. Source: Alexandria via LeMat-Bulk, functional PBE.

Lattice parameters (Å, degrees): 4.277 6.080 8.601 90.00 90.00 90.00
Each line ends with the local moment (μB).
Positions (direct):
Sb 0.000 0.000 0.000  -0.03
As 0.500 0.500 0.251  -0.03
As 0.000 0.000 0.500  -0.03
As 0.500 0.500 0.749  -0.03
Ce 0.000 0.500 0.500  0.73
Ce 0.500 0.000 0.736  0.67
Ce 0.000 0.500 0.000  0.66
Ce 0.500 0.000 0.264  0.67

Results
The value obtained for the formation energy without anion corrections is -1.301 eV/atom. The value obtained for the size of the total moment is 3.05 μB/cell. Its calculated density is 6.73 g/cm3. As for the crystal system: orthorhombic. The space group is No. 47.


Entry 2:
Crystalline GaPIrO2 at its relaxed geometry. Source: Alexandria via LeMat-Bulk, functional PBE.

Lattice parameters (Å, degrees): 3.794 3.794 5.206 90.00 90.00 90.00
Positions (direct):
P 0.000 0.000 0.500
Ir 0.000 0.000 0.000
O 0.000 0.500 0.000
O 0.500 0.000 0.000
Ga 0.500 0.500 0.500

Results
The value obtained for the formation energy without anion corrections is -0.212 eV/atom. The value obtained for the size of the total moment is 0.06 μB/cell. Its calculated density is 7.20 g/cm3. As for the crystal system: tetragonal. The space group is No. 123. The energy above the lowest structure with this stoichiometry comes out at 0.000 eV/atom.


Entry 3:
Crystalline V12Cr6Os at its relaxed geometry. Source: Alexandria via LeMat-Bulk, functional PBE.

Lattice parameters (Å, degrees): 6.826 6.826 6.826 108.10 108.10 108.10
Positions (direct):
V 0.860 0.643 0.589
V 0.589 0.860 0.643
V 0.643 0.589 0.860
V 0.140 0.357 0.411
V 0.411 0.140 0.357
V 0.357 0.411 0.140
V 0.951 0.883 0.309
V 0.117 0.691 0.049
V 0.691 0.049 0.117
V 0.049 0.117 0.691
V 0.883 0.309 0.951
V 0.309 0.951 0.883
Cr 0.551 0.795 0.254
Cr 0.746 0.449 0.205
Cr 0.205 0.746 0.449
Cr 0.449 0.205 0.746
Cr 0.254 0.551 0.795
Cr 0.795 0.254 0.551
Os 0.000 0.000 0.000

Results
The value obtained for the size of the total moment is 0.00 μB/cell. Its energy of formation is 4.8 eV per formula unit. Its calculated density is 7.21 g/cm3. As for the crystal system: trigonal. The space group is No. 148.


Which value of size of the total moment does entry 1 give?
3.05 μB/cell


Which formula does entry 1 have?
Ce4SbAs3